No. 1
Compound: CaNi2S4
Source: the Alexandria database
Functional: PBE-GGA
Structure: relaxed

Cell: 7.0558 7.1932 7.1888 Å, 88.25 119.56 119.60°
With the nearest neighbours (Å) after each atom.
Atoms (fractional coordinates):
S  0.0462  0.7774  0.3178  3 Ni 2.33-2.34
S  0.9693  0.2338  0.2636  3 Ni 2.36-2.46
S  0.4538  0.1823  0.7226  3 Ni 2.33-2.34
S  0.4692  0.7639  0.7335  3 Ni 2.36-2.45
S  0.0307  0.7662  0.7364  3 Ni 2.36-2.46
S  0.5462  0.8177  0.2774  3 Ni 2.33-2.34
S  0.5308  0.2361  0.2665  3 Ni 2.36-2.45
S  0.9538  0.2226  0.6822  3 Ni 2.33-2.34
Ni  0.0000  0.0000  0.5000  6 S 2.33-2.36
Ni  0.5000  0.0000  0.5000  6 S 2.34-2.36
Ni  0.0000  0.5000  0.5000  6 S 2.33-2.46
Ni  0.5000  0.0000  0.0000  6 S 2.33-2.45
Ca  0.5000  0.5000  0.5000  6 S 2.72-2.73
Ca  0.0000  0.0000  0.0000  6 S 2.72-2.73

Calculated values
Polymorph energy (0 for the lowest one)   0 meV/atom
Total moment   3.84 Bohr magnetons per cell
Uncorrected formation energy   -59.3 kJ per mole of atoms

=====

No. 2
Compound: Pu6ScRu5
Source: the Alexandria database
Functional: PBE-GGA
Structure: relaxed

Cell: 4.9090 6.7203 8.3976 Å, 113.56 107.34 89.91°
With the nearest neighbours (Å) after each atom.
Atoms (fractional coordinates):
Ru  0.6479  0.1447  0.2891  8 Pu 2.77-3.08
Ru  0.6657  0.6634  0.3267  8 Pu 2.84-2.94
Ru  0.3343  0.3366  0.6733  8 Pu 2.84-2.94
Ru  0.3521  0.8553  0.7109  8 Pu 2.77-3.08
Ru  0.0000  0.5000  0.0000  8 Pu 2.90-3.04
Pu  0.8214  0.5594  0.6446  7 Ru 2.91-3.07, 1 Sc 3.14, 3 Pu 3.19-3.26
Pu  0.4995  0.2687  0.9999  6 Ru 2.77-2.91, 2 Sc 3.05
Pu  0.5005  0.7313  0.0001  6 Ru 2.77-2.91, 2 Sc 3.05
Pu  0.1790  0.9149  0.3556  7 Ru 2.91-3.08, 1 Sc 3.13, 3 Pu 3.19-3.26
Pu  0.1786  0.4406  0.3554  7 Ru 2.91-3.07, 1 Sc 3.14, 3 Pu 3.19-3.26
Pu  0.8210  0.0851  0.6444  7 Ru 2.91-3.08, 1 Sc 3.13, 3 Pu 3.19-3.26
Sc  0.0000  0.0000  0.0000  8 Pu 3.05-3.14, 6 Ru 3.23-3.36

Calculated values
ΔE_f   -0.0988 eV per atom
Total moment   28.83 Bohr magnetons per cell

=====

No. 3
Compound: Tc5Os
Source: the Alexandria database
Functional: PBE-GGA
Structure: relaxed

Cell: 2.7629 5.1827 6.4973 Å, 76.49 90.00 105.46°
With the nearest neighbours (Å) after each atom.
Atoms (fractional coordinates):
Tc  0.7210  0.4419  0.0559  3 Os 2.70-2.72, 9 Tc 2.71-2.77
Tc  0.6661  0.3322  0.6673  10 Tc 2.70-2.78, 2 Os 2.75
Tc  0.0548  0.1096  0.3885  11 Tc 2.69-2.76, 1 Os 2.71
Tc  0.3897  0.7794  0.7234  10 Tc 2.70-2.77, 2 Os 2.70
Tc  0.3349  0.6697  0.3323  10 Tc 2.69-2.78, 2 Os 2.75
Os  0.0002  0.0004  0.9993  10 Tc 2.70-2.75, 2 Os 2.76

Calculated values
ΔE_f   -0.0282 eV per atom
Polymorph energy (0 for the lowest one)   0 meV/atom
Total moment   0.00 Bohr magnetons per cell